Entry from Alexandria via LeMat-Bulk: a PBEsol-optimized structure of F (SCAN).

The structure in CIF format:
```
data_F
_space_group_name_H-M_alt 'P m -3 n'
_space_group_IT_number 223
_space_group_name_Hall '-P 4n 2 3'
_cell_length_a 4.2853
_cell_length_b 4.2853
_cell_length_c 4.2853
_cell_angle_alpha 90.00
_cell_angle_beta 90.00
_cell_angle_gamma 90.00
loop_
_atom_site_label
_atom_site_type_symbol
_atom_site_fract_x
_atom_site_fract_y
_atom_site_fract_z
F1 F 0.0000 0.0000 0.0000
F2 F 0.0000 0.2500 0.5000
```

Summary:
The raw formation energy comes out at 792 meV/atom. As for the energy above the most stable polymorph in this dataset: 792 meV/atom.


Entry from Alexandria via LeMat-Bulk: a PBEsol-optimized structure of F (SCAN).

The structure in CIF format:
```
data_F
_space_group_name_H-M_alt 'C 1 2/m 1'
_space_group_IT_number 12
_space_group_name_Hall '-C 2y'
_cell_length_a 5.3944
_cell_length_b 3.0910
_cell_length_c 7.0363
_cell_angle_alpha 90.00
_cell_angle_beta 107.82
_cell_angle_gamma 90.00
loop_
_atom_site_label
_atom_site_type_symbol
_atom_site_fract_x
_atom_site_fract_y
_atom_site_fract_z
F1 F 0.0024 0.0000 0.4001
F2 F 0.0853 0.5000 0.0991
```

Summary:
The raw formation energy comes out at 5 meV/atom. As for the energy above the most stable polymorph in this dataset: 5 meV/atom.


Entry from Alexandria via LeMat-Bulk: a PBEsol-optimized structure of F (SCAN).

The structure in CIF format:
```
data_F
_space_group_name_H-M_alt 'R -3 m'
_space_group_IT_number 166
_space_group_name_Hall '-R 3 2"'
_cell_length_a 3.3393
_cell_length_b 3.3393
_cell_length_c 8.1954
_cell_angle_alpha 90.00
_cell_angle_beta 90.00
_cell_angle_gamma 120.00
loop_
_atom_site_label
_atom_site_type_symbol
_atom_site_fract_x
_atom_site_fract_y
_atom_site_fract_z
F1 F 0.0000 0.0000 0.1974
```

Summary:
The raw formation energy comes out at 522 meV/atom. As for the energy above the most stable polymorph in this dataset: 522 meV/atom.